(one)
# PBE-GGA CdTe2H, relaxed
data_CdTe2H
_space_group_name_H-M_alt 'I -4 2 d'
_space_group_IT_number 122
_space_group_name_Hall 'I -4 2bw'
_cell_length_a 6.155
_cell_length_b 6.155
_cell_length_c 10.687
_cell_angle_alpha 90.00
_cell_angle_beta 90.00
_cell_angle_gamma 90.00
loop_
_atom_site_label
_atom_site_fract_x
_atom_site_fract_y
_atom_site_fract_z
Cd1 0.000 0.000 0.000
Te1 0.172 0.250 0.625
H1 0.000 0.000 0.500
# - magnetization (Bohr magnetons per cell) = 0.00
# - D(E_F) (states/eV/atom) = 0.558

(two)
# PBE-GGA CdTe2H, relaxed
data_CdTe2H
_space_group_name_H-M_alt 'F m -3 m'
_space_group_IT_number 225
_space_group_name_Hall '-F 4 2 3'
_cell_length_a 7.131
_cell_length_b 7.131
_cell_length_c 7.131
_cell_angle_alpha 90.00
_cell_angle_beta 90.00
_cell_angle_gamma 90.00
loop_
_atom_site_label
_atom_site_fract_x
_atom_site_fract_y
_atom_site_fract_z
Cd1 0.000 0.000 0.000
Te1 0.250 0.250 0.250
H1 0.000 0.000 0.500
# - magnetization (Bohr magnetons per cell) = 2.28
# - D(E_F) (states/eV/atom) = 0.703

(one) is the most stable structure; the next one sits 0.345 eV/atom above it.

(one)
# PBE-GGA CdTe2H, relaxed
data_CdTe2H
_space_group_name_H-M_alt 'R -3 m'
_space_group_IT_number 166
_space_group_name_Hall '-R 3 2"'
_cell_length_a 4.5359
_cell_length_b 4.5359
_cell_length_c 20.4853
_cell_angle_alpha 90.00
_cell_angle_beta 90.00
_cell_angle_gamma 120.00
loop_
_atom_site_label
_atom_site_fract_x
_atom_site_fract_y
_atom_site_fract_z
Cd1 0.0000 0.0000 0.0000
Te1 0.0000 0.0000 0.4052
H1 0.0000 0.0000 0.5000
# - magnetization (Bohr magnetons per cell) = 0.01
# - D(E_F) (states/eV/atom) = 1.747

(two)
# PBE-GGA CdTe2H, relaxed
data_CdTe2H
_space_group_name_H-M_alt 'R -3 m'
_space_group_IT_number 166
_space_group_name_Hall '-R 3 2"'
_cell_length_a 3.1752
_cell_length_b 3.1752
_cell_length_c 29.9383
_cell_angle_alpha 90.00
_cell_angle_beta 90.00
_cell_angle_gamma 120.00
loop_
_atom_site_label
_atom_site_fract_x
_atom_site_fract_y
_atom_site_fract_z
Cd1 0.0000 0.0000 0.0000
Te1 0.0000 0.0000 0.1068
H1 0.0000 0.0000 0.5000
# - magnetization (Bohr magnetons per cell) = 0.00
# - D(E_F) (states/eV/atom) = 0.569

(one) is the most stable structure; the next one sits 0.387 eV/atom above it.

(one)
# PBE-GGA Cd2TeH2, relaxed
data_Cd2TeH2
_space_group_name_H-M_alt 'I 4/m m m'
_space_group_IT_number 139
_space_group_name_Hall '-I 4 2'
_cell_length_a 3.744
_cell_length_b 3.744
_cell_length_c 12.153
_cell_angle_alpha 90.00
_cell_angle_beta 90.00
_cell_angle_gamma 90.00
loop_
_atom_site_label
_atom_site_fract_x
_atom_site_fract_y
_atom_site_fract_z
Cd1 0.000 0.000 0.154
Te1 0.000 0.000 0.500
H1 0.000 0.500 0.250
# - magnetization (Bohr magnetons per cell) = 0.00
# - D(E_F) (states/eV/atom) = 0.354

(two)
# PBE-GGA Cd2TeH2, relaxed
data_Cd2TeH2
_space_group_name_H-M_alt 'P 4/m b m'
_space_group_IT_number 127
_space_group_name_Hall '-P 4 2ab'
_cell_length_a 7.720
_cell_length_b 7.720
_cell_length_c 2.974
_cell_angle_alpha 90.00
_cell_angle_beta 90.00
_cell_angle_gamma 90.00
loop_
_atom_site_label
_atom_site_fract_x
_atom_site_fract_y
_atom_site_fract_z
Cd1 0.134 0.366 0.000
Te1 0.000 0.000 0.000
H1 0.114 0.614 0.500
# - magnetization (Bohr magnetons per cell) = 0.00
# - D(E_F) (states/eV/atom) = 0.225

(one) is the most stable structure; the next one sits 0.170 eV/atom above it.

(one)
# PBE-GGA TiCdH, relaxed
data_TiCdH
_space_group_name_H-M_alt 'P 3 m 1'
_space_group_IT_number 156
_cell_length_a 3.1337
_cell_length_b 3.1337
_cell_length_c 4.8814
_cell_angle_alpha 90.00
_cell_angle_beta 90.00
_cell_angle_gamma 120.00
loop_
_space_group_symop_operation_xyz
'x,y,z'
'-y,x-y,z'
'-x+y,-x,z'
'-y,-x,z'
'-x+y,y,z'
'x,x-y,z'
loop_
_atom_site_label
_atom_site_fract_x
_atom_site_fract_y
_atom_site_fract_z
Ti1 0.0000 0.0000 0.0000
Cd1 0.6667 0.3333 0.4975
H1 0.3333 0.6667 0.9822
# - magnetization (Bohr magnetons per cell) = 0.00
# - D(E_F) (states/eV/atom) = 0.708

(two)
# PBE-GGA TiCdH, relaxed
data_TiCdH
_space_group_name_H-M_alt 'P 4/n m m'
_space_group_IT_number 129
_cell_length_a 3.568
_cell_length_b 3.568
_cell_length_c 6.407
_cell_angle_alpha 90.00
_cell_angle_beta 90.00
_cell_angle_gamma 90.00
loop_
_space_group_symop_operation_xyz
'x,y,z'
'-x,-y,-z'
'-y+1/2,x,z'
'y+1/2,-x,-z'
'-x+1/2,-y+1/2,z'
'x+1/2,y+1/2,-z'
'y,-x+1/2,z'
'-y,x+1/2,-z'
'x+1/2,-y,-z'
'-x+1/2,y,z'
'-y,-x,-z'
'y,x,z'
'-x,y+1/2,-z'
'x,-y+1/2,z'
'y+1/2,x+1/2,-z'
'-y+1/2,-x+1/2,z'
loop_
_atom_site_label
_atom_site_fract_x
_atom_site_fract_y
_atom_site_fract_z
Ti1 0.250 0.250 0.096
Cd1 0.250 0.250 0.626
H1 0.250 0.750 0.000
# - magnetization (Bohr magnetons per cell) = 0.00
# - D(E_F) (states/eV/atom) = 0.523

(three)
# PBE-GGA TiCdH, relaxed
data_TiCdH
_space_group_name_H-M_alt 'P -1'
_space_group_IT_number 2
_cell_length_a 2.985
_cell_length_b 5.404
_cell_length_c 5.785
_cell_angle_alpha 115.25
_cell_angle_beta 104.92
_cell_angle_gamma 90.05
loop_
_space_group_symop_operation_xyz
'x,y,z'
'-x,-y,-z'
loop_
_atom_site_label
_atom_site_fract_x
_atom_site_fract_y
_atom_site_fract_z
Ti1 0.123 0.455 0.244
Cd1 0.382 0.055 0.764
H1 0.275 0.404 0.551
# - magnetization (Bohr magnetons per cell) = 0.00
# - D(E_F) (states/eV/atom) = 0.581

(two) is the most stable structure; the next one sits 0.047 eV/atom above it.

(one)
# PBE-GGA Zr2TiCdH, relaxed
data_Zr2TiCdH
_space_group_name_H-M_alt 'P 4/m m m'
_space_group_IT_number 123
_space_group_name_Hall '-P 4 2'
_cell_length_a 4.356
_cell_length_b 4.356
_cell_length_c 4.489
_cell_angle_alpha 90.00
_cell_angle_beta 90.00
_cell_angle_gamma 90.00
loop_
_atom_site_label
_atom_site_fract_x
_atom_site_fract_y
_atom_site_fract_z
Zr1 0.000 0.500 0.000
Ti1 0.000 0.000 0.500
Cd1 0.500 0.500 0.500
H1 0.500 0.500 0.000
# - magnetization (Bohr magnetons per cell) = 0.00
# - D(E_F) (states/eV/atom) = 0.737

(two)
# PBE-GGA Zr2TiCdH, relaxed
data_Zr2TiCdH
_space_group_name_H-M_alt 'P 4/m m m'
_space_group_IT_number 123
_space_group_name_Hall '-P 4 2'
_cell_length_a 4.432
_cell_length_b 4.432
_cell_length_c 4.292
_cell_angle_alpha 90.00
_cell_angle_beta 90.00
_cell_angle_gamma 90.00
loop_
_atom_site_label
_atom_site_fract_x
_atom_site_fract_y
_atom_site_fract_z
Zr1 0.000 0.500 0.000
Ti1 0.000 0.000 0.500
Cd1 0.500 0.500 0.500
H1 0.000 0.000 0.000
# - magnetization (Bohr magnetons per cell) = 0.00
# - D(E_F) (states/eV/atom) = 0.396

(two) is the most stable structure; the next one sits 0.138 eV/atom above it.

(one)
# PBE-GGA ZrTi2CdH, relaxed
data_ZrTi2CdH
_space_group_name_H-M_alt 'P 4/m m m'
_space_group_IT_number 123
_space_group_name_Hall '-P 4 2'
_cell_length_a 4.255
_cell_length_b 4.255
_cell_length_c 4.321
_cell_angle_alpha 90.00
_cell_angle_beta 90.00
_cell_angle_gamma 90.00
loop_
_atom_site_label
_atom_site_fract_x
_atom_site_fract_y
_atom_site_fract_z
Zr1 0.000 0.000 0.000
Ti1 0.000 0.500 0.500
Cd1 0.500 0.500 0.000
H1 0.000 0.000 0.500
# - magnetization (Bohr magnetons per cell) = 0.00
# - D(E_F) (states/eV/atom) = 0.441

(two)
# PBE-GGA ZrTi2CdH, relaxed
data_ZrTi2CdH
_space_group_name_H-M_alt 'P 4/m m m'
_space_group_IT_number 123
_space_group_name_Hall '-P 4 2'
_cell_length_a 4.213
_cell_length_b 4.213
_cell_length_c 4.456
_cell_angle_alpha 90.00
_cell_angle_beta 90.00
_cell_angle_gamma 90.00
loop_
_atom_site_label
_atom_site_fract_x
_atom_site_fract_y
_atom_site_fract_z
Zr1 0.000 0.000 0.000
Ti1 0.000 0.500 0.500
Cd1 0.500 0.500 0.000
H1 0.500 0.500 0.500
# - magnetization (Bohr magnetons per cell) = 0.00
# - D(E_F) (states/eV/atom) = 0.932

(one) is the most stable structure; the next one sits 0.168 eV/atom above it.